[1]
Material: ScMn2Rh
Method: DFT, PBE
State: relaxed

Calculated values
D(E_F)   1.41 states/eV per atom
Electronic total energy   -7.786 eV per atom
Space group   No. 166
Size of the total moment   6.20 μB/cell
ΔH_f (0 K)   0.220 eV per atom

a = 8.8668 Å, b = 8.8668 Å, c = 8.8668 Å
α = 18.85°, β = 18.85°, γ = 18.85°
Site moments in Bohr magnetons follow the coordinates.
Element x y z (fractional)
Mn: 0.9942 0.9942 0.9942  3.20
Mn: 0.5058 0.5058 0.5058  3.20
Rh: 0.2500 0.2500 0.2500  0.26
Sc: 0.7500 0.7500 0.7500  -0.56


[2]
Material: ScMnRh6
Method: DFT, PBE
State: relaxed

Calculated values
D(E_F)   1.26 states/eV per atom
Electronic total energy   -7.798 eV per atom
Space group   No. 123
Size of the total moment   2.93 μB/cell
ΔH_f (0 K)   -0.346 eV per atom

a = 3.8604 Å, b = 5.4983 Å, c = 5.4983 Å
α = 89.99°, β = 90.00°, γ = 90.00°
Site moments in Bohr magnetons follow the coordinates.
Element x y z (fractional)
Sc: 0.5000 0.5000 0.5000  0.03
Mn: 0.5000 0.0000 0.0000  3.23
Rh: 0.0000 0.7589 0.2411  -0.05
Rh: 0.0000 0.2411 0.7589  -0.05
Rh: 0.0000 0.7589 0.7589  -0.05
Rh: 0.0000 0.2411 0.2411  -0.05
Rh: 0.5000 0.5000 0.0000  -0.09
Rh: 0.5000 0.0000 0.5000  -0.09


[3]
Material: ScMn2Rh
Method: DFT, PBE
State: relaxed

Calculated values
D(E_F)   0.96 states/eV per atom
Electronic total energy   -7.953 eV per atom
Space group   No. 160
Size of the total moment   1.16 μB/cell
ΔH_f (0 K)   0.052 eV per atom

a = 8.4837 Å, b = 8.4837 Å, c = 8.4837 Å
α = 19.89°, β = 19.89°, γ = 19.89°
Site moments in Bohr magnetons follow the coordinates.
Element x y z (fractional)
Mn: 0.9935 0.9935 0.9935  -2.71
Mn: 0.2518 0.2518 0.2518  3.22
Rh: 0.5035 0.5035 0.5035  0.25
Sc: 0.7512 0.7512 0.7512  0.25


[4]
Material: ScMnRh3
Method: DFT, PBE
State: relaxed

Calculated values
D(E_F)   1.17 states/eV per atom
Electronic total energy   -7.209 eV per atom
Space group   No. 221
Size of the total moment   0.00 μB/cell
ΔH_f (0 K)   0.303 eV per atom

a = 4.4512 Å, b = 4.4512 Å, c = 4.4512 Å
α = 90.00°, β = 90.00°, γ = 90.00°
Element x y z (fractional)
Sc: 0.5000 0.5000 0.5000
Mn: 0.0000 0.0000 0.0000
Rh: 0.0000 0.5000 0.0000
Rh: 0.0000 0.0000 0.5000
Rh: 0.5000 0.0000 0.0000


[5]
Material: Sc2MnRh
Method: DFT, PBE
State: relaxed

Calculated values
D(E_F)   0.92 states/eV per atom
Electronic total energy   -7.448 eV per atom
Space group   No. 166
Size of the total moment   2.87 μB/cell
ΔH_f (0 K)   -0.152 eV per atom

a = 8.7308 Å, b = 8.7308 Å, c = 8.7308 Å
α = 20.59°, β = 20.59°, γ = 20.59°
Site moments in Bohr magnetons follow the coordinates.
Element x y z (fractional)
Mn: 0.2500 0.2500 0.2500  3.19
Rh: 0.7500 0.7500 0.7500  -0.04
Sc: 0.0039 0.0039 0.0039  -0.15
Sc: 0.4961 0.4961 0.4961  -0.15


[6]
Material: ScMnRh2
Method: DFT, PBE
State: relaxed

Calculated values
D(E_F)   1.13 states/eV per atom
Electronic total energy   -7.502 eV per atom
Space group   No. 122
Size of the total moment   7.70 μB/cell
ΔH_f (0 K)   0.049 eV per atom

a = 4.0060 Å, b = 4.0060 Å, c = 9.0364 Å
α = 77.19°, β = 77.19°, γ = 90.00°
Site moments in Bohr magnetons follow the coordinates.
Element x y z (fractional)
Sc: 0.5000 0.5000 0.0000  -0.05
Sc: 0.2500 0.7500 0.5000  -0.05
Mn: 0.0000 0.0000 0.0000  3.45
Mn: 0.7500 0.2500 0.5000  3.45
Rh: 0.6528 0.1250 0.2500  0.16
Rh: 0.0972 0.6250 0.2500  0.16
Rh: 0.3750 0.3472 0.7500  0.16
Rh: 0.8750 0.9028 0.7500  0.16


[7]
Material: ScMnRh2
Method: DFT, PBE
State: relaxed

Calculated values
D(E_F)   1.03 states/eV per atom
Electronic total energy   -7.879 eV per atom
Space group   No. 12
Size of the total moment   4.02 μB/cell
ΔH_f (0 K)   -0.328 eV per atom

a = 4.5646 Å, b = 4.5646 Å, c = 4.9860 Å
α = 77.98°, β = 77.98°, γ = 38.10°
Site moments in Bohr magnetons follow the coordinates.
Element x y z (fractional)
Mn: 0.2500 0.2500 0.2500  3.46
Rh: 0.9959 0.9959 0.0149  0.26
Rh: 0.5041 0.5041 0.4851  0.26
Sc: 0.7500 0.7500 0.7500  -0.10


[8]
Material: ScMn3Rh4
Method: DFT, PBE
State: relaxed

Calculated values
D(E_F)   0.64 states/eV per atom
Electronic total energy   -8.313 eV per atom
Space group   No. 229
Size of the total moment   12.68 μB/cell
ΔH_f (0 K)   -0.408 eV per atom

a = 5.3427 Å, b = 5.3427 Å, c = 5.3427 Å
α = 109.47°, β = 109.47°, γ = 109.47°
Site moments in Bohr magnetons follow the coordinates.
Element x y z (fractional)
Sc: 0.0000 0.0000 0.0000  -0.16
Mn: 0.0000 0.5000 0.5000  3.56
Mn: 0.5000 0.0000 0.5000  3.56
Mn: 0.5000 0.5000 0.0000  3.56
Rh: 0.0000 0.0000 0.4999  0.48
Rh: 0.5001 0.5001 0.5001  0.48
Rh: 0.4999 0.0000 0.0000  0.48
Rh: 0.0000 0.4999 0.0000  0.48